(w)
# Y3ZnGa

A relaxed Y3ZnGa crystal (PBE-GGA, the Alexandria database).

extended XYZ file:
```
5
Lattice="5.441 0.000 0.000 0.000 5.441 0.000 0.000 0.000 5.441" Properties=species:S:1:pos:R:3 pbc="T T T"
Y 0.000 0.000 2.721
Y 0.000 2.721 0.000
Y 2.721 0.000 0.000
Zn 2.721 2.721 2.721
Ga 0.000 0.000 0.000
```

Output
space-group type	Pm-3m, No. 221
spin magnetization	2.1	μB/cell
V	161	Å³/cell


(x)
# Y3ZnGa

A relaxed Y3ZnGa crystal (PBE-GGA, the Alexandria database).

extended XYZ file:
```
10
Lattice="2.519 -9.928 0.000 2.519 9.928 0.000 0.000 0.000 5.034" Properties=species:S:1:pos:R:3 pbc="T T T"
Y 2.519 8.562 3.775
Y 2.519 4.977 3.775
Y 2.519 1.393 3.775
Y 2.519 -1.393 1.258
Y 2.519 -4.977 1.258
Y 2.519 -8.562 1.258
Zn 2.519 6.768 1.258
Zn 2.519 -6.768 3.775
Ga 2.519 3.199 1.258
Ga 2.519 -3.199 3.775
```

Output
space-group type	Cmcm, No. 63
spin magnetization	0.0	μB/cell
V	252	Å³/cell


Unit: eV/atom. Relative energies: (w) 0.553; (x) 0.000.


(w)
# Y2Zn5Ga3

A relaxed Y2Zn5Ga3 crystal (PBE-GGA, the Alexandria database).

extended XYZ file:
```
20
Lattice="-5.334 5.851 2.942 5.334 -5.851 2.942 5.334 5.851 -2.942" Properties=species:S:1:pos:R:3 pbc="T T T"
Y 2.639 1.456 0.000
Y 2.639 -1.456 2.942
Y 2.695 7.307 0.000
Y 2.695 4.395 2.942
Zn 5.334 -2.883 1.471
Zn 9.242 1.494 0.000
Zn 5.334 0.000 1.471
Zn 3.907 4.357 0.000
Zn 5.334 2.883 1.471
Zn 0.000 2.968 1.471
Zn 1.427 1.494 2.942
Zn 0.000 5.851 1.471
Zn -3.907 4.357 2.942
Zn 0.000 8.733 1.471
Ga 6.838 1.464 0.000
Ga 0.000 0.000 1.471
Ga 1.503 4.387 0.000
Ga 3.831 1.464 2.942
Ga 0.000 0.000 4.413
Ga -1.503 4.387 2.942
```

Output
space-group type	Ibam, No. 72
spin magnetization	0.0	μB/cell
V	367	Å³/cell


(x)
# Y2Zn5Ga3

A relaxed Y2Zn5Ga3 crystal (PBE-GGA, the Alexandria database).

extended XYZ file:
```
10
Lattice="4.160 0.000 0.000 0.000 4.160 0.000 0.000 0.000 10.673" Properties=species:S:1:pos:R:3 pbc="T T T"
Y 0.000 2.080 2.673
Y 2.080 0.000 8.001
Zn 0.000 0.000 0.000
Zn 0.000 0.000 5.337
Zn 0.000 2.080 9.269
Zn 2.080 0.000 1.405
Zn 2.080 2.080 0.000
Ga 0.000 2.080 6.864
Ga 2.080 0.000 3.809
Ga 2.080 2.080 5.337
```

Output
space-group type	P-4m2, No. 115
spin magnetization	0.0	μB/cell
V	185	Å³/cell


Unit: eV/atom. Relative energies: (w) 0.000; (x) 0.032.


(w)
# Y6ZnGa2

A relaxed Y6ZnGa2 crystal (PBE-GGA, the Alexandria database).

extended XYZ file:
```
18
Lattice="-4.818 4.843 5.208 4.818 -4.843 5.208 4.818 4.843 -5.208" Properties=species:S:1:pos:R:3 pbc="T T T"
Y 4.818 -2.864 3.367
Y 2.940 0.000 2.555
Y 6.696 0.000 2.555
Y 3.102 2.628 0.000
Y 6.533 2.628 0.000
Y 0.000 1.979 1.841
Y 4.818 2.864 3.367
Y -1.716 2.215 5.208
Y 1.716 2.215 5.208
Y -1.878 4.843 2.653
Y 1.878 4.843 2.653
Y 0.000 7.708 1.841
Zn 4.818 0.000 0.000
Zn 0.000 4.843 0.000
Ga 1.433 0.000 0.000
Ga 8.202 0.000 0.000
Ga 0.000 0.000 3.940
Ga 0.000 0.000 6.477
```

Output
space-group type	Immm, No. 71
spin magnetization	0.0	μB/cell
V	486	Å³/cell


(x)
# Y6ZnGa2

A relaxed Y6ZnGa2 crystal (PBE-GGA, the Alexandria database).

extended XYZ file:
```
18
Lattice="6.394 0.000 0.000 0.000 8.151 0.000 -5.467 0.000 9.473" Properties=species:S:1:pos:R:3 pbc="T T T"
Y -0.710 0.340 2.129
Y -3.443 3.735 6.866
Y 0.786 5.604 0.607
Y -1.948 6.623 5.344
Y 2.334 1.321 0.569
Y -0.399 2.755 5.306
Y 1.326 5.397 4.167
Y -1.408 6.831 8.904
Y 2.874 1.529 4.129
Y 0.141 2.547 8.866
Y 4.370 4.416 2.608
Y 1.636 7.811 7.344
Zn 0.463 0.000 4.737
Zn 3.197 4.076 0.000
Ga -2.061 1.048 7.079
Ga 0.672 3.028 2.342
Ga 0.255 5.124 7.131
Ga 2.988 7.103 2.394
```

Output
space-group type	P2_1/c, No. 14
spin magnetization	0.0	μB/cell
V	494	Å³/cell


Unit: eV/atom. Relative energies: (w) 0.000; (x) 0.097.


(w)
# YZn3Ga

A relaxed YZn3Ga crystal (PBE-GGA, the Alexandria database).

extended XYZ file:
```
5
Lattice="4.738 0.000 0.000 0.000 4.738 0.000 0.000 0.000 4.738" Properties=species:S:1:pos:R:3 pbc="T T T"
Y 0.000 0.000 0.000
Zn 0.000 2.369 2.369
Zn 2.369 0.000 2.369
Zn 2.369 2.369 0.000
Ga 2.369 2.369 2.369
```

Output
space-group type	Pm-3m, No. 221
spin magnetization	0.0	μB/cell
V	106	Å³/cell


(x)
# YZn3Ga

A relaxed YZn3Ga crystal (PBE-GGA, the Alexandria database).

extended XYZ file:
```
5
Lattice="2.948 -2.958 0.000 2.948 2.958 0.000 -2.878 0.000 5.256" Properties=species:S:1:pos:R:3 pbc="T T T"
Y 0.000 0.000 0.000
Zn 1.510 1.505 2.629
Zn 2.955 0.000 1.236
Zn 1.510 -1.505 2.629
Ga 0.066 0.000 4.084
```

Output
space-group type	Cm, No. 8
spin magnetization	0.0	μB/cell
V	92	Å³/cell


Unit: eV/atom. Relative energies: (w) 0.508; (x) 0.000.


(w)
# YZnGa4

A relaxed YZnGa4 crystal (PBE-GGA, the Alexandria database).

extended XYZ file:
```
6
Lattice="4.454 0.000 0.000 2.213 5.229 0.000 2.195 -0.628 5.253" Properties=species:S:1:pos:R:3 pbc="T T T"
Y 0.000 0.000 0.000
Zn 4.431 2.301 2.627
Ga 2.214 -0.189 2.028
Ga 2.220 2.019 0.044
Ga 6.642 2.582 5.209
Ga 6.648 4.790 3.225
```

Output
space-group type	P-1, No. 2
spin magnetization	0.0	μB/cell
V	122	Å³/cell


(x)
# YZnGa4

A relaxed YZnGa4 crystal (PBE-GGA, the Alexandria database).

extended XYZ file:
```
6
Lattice="0.000 3.882 3.882 3.882 0.000 3.882 3.882 3.882 0.000" Properties=species:S:1:pos:R:3 pbc="T T T"
Y 0.000 0.000 0.000
Zn 5.823 5.823 5.823
Ga 2.912 2.912 2.912
Ga 4.851 4.851 2.912
Ga 4.851 2.912 4.851
Ga 2.912 4.851 4.851
```

Output
space-group type	F-43m, No. 216
spin magnetization	0.0	μB/cell
V	117	Å³/cell


Unit: eV/atom. Relative energies: (w) 0.000; (x) 0.083.


(w)
# YZr2Ga6

A relaxed YZr2Ga6 crystal (PBE-GGA, the Alexandria database).

extended XYZ file:
```
9
Lattice="7.212 0.000 0.000 -3.606 6.245 0.000 0.000 0.000 3.777" Properties=species:S:1:pos:R:3 pbc="T T T"
Y 0.000 0.000 0.000
Zr 0.000 4.164 0.000
Zr 3.606 2.082 0.000
Ga -1.211 2.098 1.889
Ga -2.395 4.147 1.889
Ga 2.422 0.000 1.889
Ga 1.211 2.098 1.889
Ga 4.789 0.000 1.889
Ga 2.395 4.147 1.889
```

Output
space-group type	P6/mmm, No. 191
spin magnetization	0.0	μB/cell
V	170	Å³/cell


(x)
# YZr2Ga6

A relaxed YZr2Ga6 crystal (PBE-GGA, the Alexandria database).

extended XYZ file:
```
9
Lattice="-2.081 3.375 6.490 2.081 -3.375 6.490 2.081 3.375 -6.490" Properties=species:S:1:pos:R:3 pbc="T T T"
Y 0.000 0.000 0.000
Zr 2.081 0.000 4.935
Zr 0.000 3.375 1.555
Ga 2.081 1.375 -2.464
Ga 2.081 2.106 0.000
Ga 2.081 1.375 2.464
Ga 0.000 2.001 4.027
Ga 0.000 1.269 6.490
Ga 0.000 2.001 8.954
```

Output
space-group type	Immm, No. 71
spin magnetization	0.0	μB/cell
V	182	Å³/cell


Unit: eV/atom. Relative energies: (w) 0.000; (x) 0.090.


(w)
# YZrGa

A relaxed YZrGa crystal (PBE-GGA, the Alexandria database).

extended XYZ file:
```
6
Lattice="5.583 -1.825 0.000 5.583 1.825 0.000 -4.759 0.000 6.921" Properties=species:S:1:pos:R:3 pbc="T T T"
Y -0.670 0.000 2.306
Y 7.077 0.000 4.615
Zr -0.727 0.000 6.556
Zr 7.133 0.000 0.366
Ga 2.474 0.000 2.347
Ga 3.932 0.000 4.575
```

Output
space-group type	C2/m, No. 12
spin magnetization	0.0	μB/cell
V	141	Å³/cell


(x)
# YZrGa

A relaxed YZrGa crystal (PBE-GGA, the Alexandria database).

extended XYZ file:
```
6
Lattice="2.384 -7.886 0.000 2.384 7.886 0.000 0.000 0.000 3.658" Properties=species:S:1:pos:R:3 pbc="T T T"
Y 2.384 5.072 0.000
Y 2.384 -5.072 0.000
Zr 0.000 0.000 1.829
Zr 2.384 0.000 0.000
Ga 2.384 2.227 1.829
Ga 2.384 -2.227 1.829
```

Output
space-group type	Cmmm, No. 65
spin magnetization	0.0	μB/cell
V	138	Å³/cell


Unit: eV/atom. Relative energies: (w) 0.011; (x) 0.000.


(w)
# YZrGa

A relaxed YZrGa crystal (PBE-GGA, the Alexandria database).

extended XYZ file:
```
6
Lattice="4.858 -3.019 0.000 4.858 3.019 0.000 -3.937 0.000 4.790" Properties=species:S:1:pos:R:3 pbc="T T T"
Y 0.000 0.000 0.000
Y -0.757 0.000 3.388
Zr 2.428 0.000 3.700
Zr 4.889 0.000 1.720
Ga 2.407 1.499 1.265
Ga 2.407 -1.499 1.265
```

Output
space-group type	Cm, No. 8
spin magnetization	0.0	μB/cell
V	141	Å³/cell


(x)
# YZrGa

A relaxed YZrGa crystal (PBE-GGA, the Alexandria database).

extended XYZ file:
```
6
Lattice="4.586 -3.069 0.000 4.586 3.069 0.000 -3.819 0.000 4.954" Properties=species:S:1:pos:R:3 pbc="T T T"
Y 1.574 0.000 0.268
Y 3.779 0.000 4.686
Zr 0.545 0.000 3.406
Zr 4.808 0.000 1.548
Ga 2.677 1.772 2.477
Ga 2.677 -1.772 2.477
```

Output
space-group type	C2/m, No. 12
spin magnetization	0.0	μB/cell
V	139	Å³/cell


(y)
# YZrGa

A relaxed YZrGa crystal (PBE-GGA, the Alexandria database).

extended XYZ file:
```
3
Lattice="4.814 0.000 0.000 -2.407 4.169 0.000 0.000 0.000 3.601" Properties=species:S:1:pos:R:3 pbc="T T T"
Y 0.000 0.000 0.000
Zr 0.000 2.779 1.781
Ga 2.407 1.390 1.885
```

Output
space-group type	P3m1, No. 156
spin magnetization	0.0	μB/cell
V	72	Å³/cell


Unit: eV/atom. Relative energies: (w) 0.000; (x) 0.005; (y) 0.190.


(w)
# YZrGa

A relaxed YZrGa crystal (PBE-GGA, the Alexandria database).

extended XYZ file:
```
3
Lattice="-1.671 1.671 6.255 1.671 -1.671 6.255 1.671 1.671 -6.255" Properties=species:S:1:pos:R:3 pbc="T T T"
Y 0.000 0.000 0.000
Zr 0.000 0.000 3.844
Ga 0.000 0.000 8.312
```

Output
space-group type	I4mm, No. 107
spin magnetization	0.0	μB/cell
V	70	Å³/cell


(x)
# YZrGa

A relaxed YZrGa crystal (PBE-GGA, the Alexandria database).

extended XYZ file:
```
6
Lattice="4.248 0.000 0.000 0.000 4.248 0.000 0.000 0.000 7.948" Properties=species:S:1:pos:R:3 pbc="T T T"
Y 1.062 1.062 1.202
Y 3.186 3.186 6.746
Zr 1.062 3.186 3.974
Zr 3.186 1.062 3.974
Ga 1.062 1.062 6.038
Ga 3.186 3.186 1.910
```

Output
space-group type	P4/nmm, No. 129
spin magnetization	0.0	μB/cell
V	143	Å³/cell


Unit: eV/atom. Relative energies: (w) 0.152; (x) 0.000.


(w)
# YZrGa

A relaxed YZrGa crystal (PBE-GGA, the Alexandria database).

extended XYZ file:
```
6
Lattice="-2.118 2.118 7.992 2.118 -2.118 7.992 2.118 2.118 -7.992" Properties=species:S:1:pos:R:3 pbc="T T T"
Y 0.000 0.000 2.834
Y 0.000 0.000 13.151
Zr 2.118 0.000 0.000
Zr 0.000 2.118 0.000
Ga 0.000 0.000 5.932
Ga 0.000 0.000 10.052
```

Output
space-group type	I4/mmm, No. 139
spin magnetization	0.0	μB/cell
V	143	Å³/cell


(x)
# YZrGa

A relaxed YZrGa crystal (PBE-GGA, the Alexandria database).

extended XYZ file:
```
6
Lattice="2.027 -7.443 0.000 2.027 7.443 0.000 0.000 0.000 4.585" Properties=species:S:1:pos:R:3 pbc="T T T"
Y 2.027 6.293 3.439
Y 2.027 -6.293 1.146
Zr 2.027 3.831 1.146
Zr 2.027 -3.831 3.439
Ga 2.027 1.584 3.439
Ga 2.027 -1.584 1.146
```

Output
space-group type	Cmcm, No. 63
spin magnetization	0.0	μB/cell
V	138	Å³/cell


Unit: eV/atom. Relative energies: (w) 0.000; (x) 0.067.


(w)
# YZrGa2

A relaxed YZrGa2 crystal (PBE-GGA, the Alexandria database).

extended XYZ file:
```
4
Lattice="0.000 3.474 3.474 3.474 0.000 3.474 3.474 3.474 0.000" Properties=species:S:1:pos:R:3 pbc="T T T"
Y 0.000 0.000 0.000
Zr 3.474 3.474 3.474
Ga 1.737 1.737 1.737
Ga 5.211 5.211 5.211
```

Output
space-group type	Fm-3m, No. 225
spin magnetization	0.0	μB/cell
V	84	Å³/cell


(x)
# YZrGa2

A relaxed YZrGa2 crystal (PBE-GGA, the Alexandria database).

extended XYZ file:
```
4
Lattice="4.592 0.000 0.000 0.000 4.592 0.000 0.000 0.000 3.949" Properties=species:S:1:pos:R:3 pbc="T T T"
Y 0.000 0.000 0.000
Zr 2.296 2.296 0.000
Ga 0.000 2.296 1.975
Ga 2.296 0.000 1.975
```

Output
space-group type	P4/mmm, No. 123
spin magnetization	0.0	μB/cell
V	83	Å³/cell


Unit: eV/atom. Relative energies: (w) 0.019; (x) 0.000.